Record 1
Here is a relaxed BeAlFeAu crystal from OQMD via LeMat-Bulk. Energies are from PBE.

Cell and atoms, written as CIF:
```
data_BeAlFeAu
_cell_length_a 4.151
_cell_length_b 4.151
_cell_length_c 4.151
_cell_angle_alpha 60.00
_cell_angle_beta 60.00
_cell_angle_gamma 60.00
_space_group_name_H-M_alt 'P 1'
_space_group_IT_number 1
_space_group_name_Hall 'P 1'
loop_
_atom_site_label
_atom_site_type_symbol
_atom_site_fract_x
_atom_site_fract_y
_atom_site_fract_z
Fe1 Fe 0.750 0.750 0.750
Al1 Al 0.000 0.000 0.000
Au1 Au 0.250 0.250 0.250
Be1 Be 0.500 0.500 0.500
```

Values from the calculation:
**Raw total energy**: -4.893 eV/atom

---

Record 2
Here is a relaxed LaPrMg2Tl2 crystal from OQMD via LeMat-Bulk. Energies are from PBE.

Cell and atoms, written as CIF:
```
data_LaPrMg2Tl2
_cell_length_a 5.002
_cell_length_b 5.002
_cell_length_c 7.813
_cell_angle_alpha 90.00
_cell_angle_beta 90.00
_cell_angle_gamma 120.00
_space_group_name_H-M_alt 'P 1'
_space_group_IT_number 1
_space_group_name_Hall 'P 1'
loop_
_atom_site_label
_atom_site_type_symbol
_atom_site_fract_x
_atom_site_fract_y
_atom_site_fract_z
Pr1 Pr 0.000 0.000 0.754
Mg1 Mg 0.333 0.667 0.025
Tl1 Tl 0.667 0.333 0.965
Tl2 Tl 0.333 0.667 0.469
Mg2 Mg 0.667 0.333 0.534
La1 La 0.000 0.000 0.254
```

Values from the calculation:
**Raw total energy**: -3.263 eV/atom

---

Record 3
Here is a relaxed GdYNi2 crystal from OQMD via LeMat-Bulk. Energies are from PBE.

Cell and atoms, written as CIF:
```
data_GdYNi2
_cell_length_a 4.197
_cell_length_b 7.075
_cell_length_c 5.439
_cell_angle_alpha 90.00
_cell_angle_beta 90.00
_cell_angle_gamma 90.00
_space_group_name_H-M_alt 'P 1'
_space_group_IT_number 1
_space_group_name_Hall 'P 1'
loop_
_atom_site_label
_atom_site_type_symbol
_atom_site_fract_x
_atom_site_fract_y
_atom_site_fract_z
Ni1 Ni 0.500 0.788 0.625
Ni2 Ni 0.000 0.212 0.125
Ni3 Ni 0.500 0.288 0.875
Gd1 Gd 0.500 0.930 0.130
Y1 Y 0.500 0.430 0.370
Gd2 Gd 0.000 0.070 0.630
Y2 Y 0.000 0.570 0.870
Ni4 Ni 0.000 0.712 0.375
```

Values from the calculation:
**Raw total energy**: -5.996 eV/atom
**E_form**: -0.43 eV per atom

---

Record 4
Here is a relaxed BeOsNO crystal from OQMD via LeMat-Bulk. Energies are from PBE.

Cell and atoms, written as CIF:
```
data_BeOsNO
_cell_length_a 2.732
_cell_length_b 4.729
_cell_length_c 5.713
_cell_angle_alpha 90.00
_cell_angle_beta 90.00
_cell_angle_gamma 90.00
_space_group_name_H-M_alt 'P 1'
_space_group_IT_number 1
_space_group_name_Hall 'P 1'
loop_
_atom_site_label
_atom_site_type_symbol
_atom_site_fract_x
_atom_site_fract_y
_atom_site_fract_z
O1 O 0.500 0.369 0.138
N1 N 0.000 0.384 0.734
Be1 Be 0.500 0.014 0.125
Os1 Os 0.000 0.487 0.404
N2 N 0.000 0.884 0.266
O2 O 0.500 0.869 0.862
Be2 Be 0.500 0.514 0.875
Os2 Os 0.000 0.987 0.596
```

Values from the calculation:
**Raw total energy**: -7.754 eV/atom

---

Record 5
Here is a relaxed ZrZnNiMo crystal from OQMD via LeMat-Bulk. Energies are from PBE.

Cell and atoms, written as CIF:
```
data_ZrZnNiMo
_cell_length_a 4.491
_cell_length_b 4.491
_cell_length_c 4.491
_cell_angle_alpha 60.00
_cell_angle_beta 60.00
_cell_angle_gamma 60.00
_space_group_name_H-M_alt 'P 1'
_space_group_IT_number 1
_space_group_name_Hall 'P 1'
loop_
_atom_site_label
_atom_site_type_symbol
_atom_site_fract_x
_atom_site_fract_y
_atom_site_fract_z
Zr1 Zr 0.500 0.500 0.500
Ni1 Ni 0.750 0.750 0.750
Zn1 Zn 0.000 0.000 0.000
Mo1 Mo 0.250 0.250 0.250
```

Values from the calculation:
**Raw total energy**: -6.399 eV/atom
**E_form**: 0.16 eV per atom

---

Record 6
Here is a relaxed Pm2Sb crystal from OQMD via LeMat-Bulk. Energies are from PBE.

Cell and atoms, written as CIF:
```
data_Pm2Sb
_cell_length_a 6.331
_cell_length_b 6.331
_cell_length_c 6.331
_cell_angle_alpha 60.00
_cell_angle_beta 60.00
_cell_angle_gamma 60.00
_space_group_name_H-M_alt 'P 1'
_space_group_IT_number 1
_space_group_name_Hall 'P 1'
loop_
_atom_site_label
_atom_site_type_symbol
_atom_site_fract_x
_atom_site_fract_y
_atom_site_fract_z
Pm1 Pm 0.625 0.125 0.625
Pm2 Pm 0.625 0.625 0.125
Sb1 Sb 0.250 0.250 0.250
Pm3 Pm 0.625 0.625 0.625
Pm4 Pm 0.125 0.625 0.625
Sb2 Sb 0.000 0.000 0.000
```

Values from the calculation:
**Raw total energy**: -4.674 eV/atom

---

> Number 4 is which compound?

BeOsNO

---

What did the first record say?
Here is a relaxed BeAlFeAu crystal from OQMD via LeMat-Bulk. Energies are from PBE.

Cell and atoms, written as CIF:
```
data_BeAlFeAu
_cell_length_a 4.151
_cell_length_b 4.151
_cell_length_c 4.151
_cell_angle_alpha 60.00
_cell_angle_beta 60.00
_cell_angle_gamma 60.00
_space_group_name_H-M_alt 'P 1'
_space_group_IT_number 1
_space_group_name_Hall 'P 1'
loop_
_atom_site_label
_atom_site_type_symbol
_atom_site_fract_x
_atom_site_fract_y
_atom_site_fract_z
Fe1 Fe 0.750 0.750 0.750
Al1 Al 0.000 0.000 0.000
Au1 Au 0.250 0.250 0.250
Be1 Be 0.500 0.500 0.500
```

Values from the calculation:
**Raw total energy**: -4.893 eV/atom

---

> The highest raw total energy belongs to which entry?

LaPrMg2Tl2